DFT (PBE+U) results for NbCo2Ni2O6 after structural relaxation.

Properties
- Total DFT energy (no corrections): -0.4647 Ry/atom
- V: 11.37 Å³ per atom
- N(E_F): 0.336 states/eV per cell

POSCAR file:
```
NbCo2Ni2O6
1.0
-2.6183 3.3820 2.8356
-1.1115 -4.9439 0.8107
6.1161 0.7666 1.3993
Nb Co Ni O
1 2 2 6
Cartesian
3.0580 0.3833 0.6996
-2.3280 1.7778 2.4455
-1.4018 -3.3397 1.2008
1.4356 -1.7374 2.1970
0.9507 0.9421 2.8487
1.3316 -0.7505 4.0768
3.4503 -1.2984 1.7349
1.0546 -0.0448 0.9688
2.9528 1.4507 2.4035
-1.0641 0.5031 3.3107
-0.5665 -2.2460 2.6421
```